A.
# GGA-PBE Ag8Pd2Au3, relaxed
data_Ag8Pd2Au3
_chemical_formula_sum 'Ag16 Pd4 Au6'
_symmetry_space_group_name_H-M 'C 1 2/m 1'
_symmetry_Int_Tables_number 12
_cell_length_a 12.548
_cell_length_b 7.718
_cell_length_c 5.449
_cell_angle_alpha 90.00
_cell_angle_beta 109.11
_cell_angle_gamma 90.00
loop_
_symmetry_equiv_pos_as_xyz
'x,y,z'
'-x,-y,-z'
'-x,y,-z'
'x,-y,z'
'x+1/2,y+1/2,z'
'-x+1/2,-y+1/2,-z'
'-x+1/2,y+1/2,-z'
'x+1/2,-y+1/2,z'
loop_
_atom_site_label
_atom_site_type_symbol
_atom_site_fract_x
_atom_site_fract_y
_atom_site_fract_z
Ag1 Ag 0.099 0.000 0.205
Ag2 Ag 0.121 0.181 0.694
Ag3 Ag 0.198 0.500 0.405
Pd1 Pd 0.200 0.500 0.918
Au1 Au 0.000 0.324 0.000
Au2 Au 0.000 0.500 0.500
# Volume in Å³/cell: 499

B.
# GGA-PBE Ag8Pd2Au3, relaxed
data_Ag8Pd2Au3
_chemical_formula_sum 'Ag24 Pd6 Au9'
_symmetry_space_group_name_H-M 'R -3 m'
_symmetry_Int_Tables_number 166
_symmetry_space_group_name_Hall '-R 3 2"'
_cell_length_a 5.3400
_cell_length_b 5.3400
_cell_length_c 30.3345
_cell_angle_alpha 90.00
_cell_angle_beta 90.00
_cell_angle_gamma 120.00
loop_
_atom_site_label
_atom_site_type_symbol
_atom_site_fract_x
_atom_site_fract_y
_atom_site_fract_z
Ag1 Ag 0.0000 0.0000 0.2258
Ag2 Ag 0.0007 0.5004 0.2699
Pd1 Pd 0.0000 0.0000 0.1396
Au1 Au 0.0000 0.0000 0.3173
Au2 Au 0.0000 0.0000 0.5000
# Volume in Å³/cell: 749

Preferred: A; penalty for the next structure: 8.5 kJ/mol of atoms.

A.
# GGA-PBE Ag6PdAu8, relaxed
data_Ag6PdAu8
_chemical_formula_sum 'Ag6 Pd1 Au8'
_symmetry_space_group_name_H-M 'P -3'
_symmetry_Int_Tables_number 147
_cell_length_a 10.7396
_cell_length_b 10.7396
_cell_length_c 2.8847
_cell_angle_alpha 90.00
_cell_angle_beta 90.00
_cell_angle_gamma 120.00
loop_
_symmetry_equiv_pos_as_xyz
'x,y,z'
'-x,-y,-z'
'-y,x-y,z'
'y,-x+y,-z'
'-x+y,-x,z'
'x-y,x,-z'
loop_
_atom_site_label
_atom_site_type_symbol
_atom_site_fract_x
_atom_site_fract_y
_atom_site_fract_z
Ag1 Ag 0.0923 0.4643 0.2696
Pd1 Pd 0.0000 0.0000 0.5000
Au1 Au 0.0723 0.7970 0.2097
Au2 Au 0.3333 0.6667 0.7707
# Volume in Å³/cell: 288

B.
# GGA-PBE Ag6PdAu8, relaxed
data_Ag6PdAu8
_chemical_formula_sum 'Ag18 Pd3 Au24'
_symmetry_space_group_name_H-M 'R -3'
_symmetry_Int_Tables_number 148
_symmetry_space_group_name_Hall '-R 3'
_cell_length_a 7.2968
_cell_length_b 7.2968
_cell_length_c 17.7520
_cell_angle_alpha 90.00
_cell_angle_beta 90.00
_cell_angle_gamma 120.00
loop_
_atom_site_label
_atom_site_type_symbol
_atom_site_fract_x
_atom_site_fract_y
_atom_site_fract_z
Ag1 Ag 0.0210 0.7736 0.2077
Pd1 Pd 0.0000 0.0000 0.5000
Au1 Au 0.0000 0.0000 0.0807
Au2 Au 0.0535 0.2512 0.6329
# Volume in Å³/cell: 819

Preferred: B; penalty for the next structure: 10.7 kJ/mol of atoms.

A.
# GGA-PBE Ag3PdAu6, relaxed
data_Ag3PdAu6
_chemical_formula_sum 'Ag6 Pd2 Au12'
_symmetry_space_group_name_H-M 'P 1 21/m 1'
_symmetry_Int_Tables_number 11
_cell_length_a 12.007
_cell_length_b 2.868
_cell_length_c 12.240
_cell_angle_alpha 90.00
_cell_angle_beta 119.22
_cell_angle_gamma 90.00
loop_
_symmetry_equiv_pos_as_xyz
'x,y,z'
'-x,-y,-z'
'-x,y+1/2,-z'
'x,-y+1/2,z'
loop_
_atom_site_label
_atom_site_type_symbol
_atom_site_fract_x
_atom_site_fract_y
_atom_site_fract_z
Ag1 Ag 0.075 0.250 0.220
Ag2 Ag 0.322 0.750 0.296
Ag3 Ag 0.348 0.250 0.077
Pd1 Pd 0.214 0.750 0.640
Au1 Au 0.008 0.750 0.391
Au2 Au 0.120 0.750 0.039
Au3 Au 0.185 0.750 0.846
Au4 Au 0.264 0.250 0.467
Au5 Au 0.415 0.250 0.873
Au6 Au 0.460 0.750 0.675
# Volume in Å³/cell: 368

B.
# GGA-PBE Ag3PdAu6, relaxed
data_Ag3PdAu6
_chemical_formula_sum 'Ag6 Pd2 Au12'
_symmetry_space_group_name_H-M 'P 1 21/m 1'
_symmetry_Int_Tables_number 11
_cell_length_a 10.039
_cell_length_b 2.862
_cell_length_c 12.982
_cell_angle_alpha 90.00
_cell_angle_beta 104.11
_cell_angle_gamma 90.00
loop_
_symmetry_equiv_pos_as_xyz
'x,y,z'
'-x,-y,-z'
'-x,y+1/2,-z'
'x,-y+1/2,z'
loop_
_atom_site_label
_atom_site_type_symbol
_atom_site_fract_x
_atom_site_fract_y
_atom_site_fract_z
Ag1 Ag 0.113 0.250 0.372
Ag2 Ag 0.125 0.250 0.982
Ag3 Ag 0.370 0.750 0.327
Pd1 Pd 0.382 0.250 0.739
Au1 Au 0.121 0.250 0.766
Au2 Au 0.129 0.750 0.174
Au3 Au 0.156 0.750 0.577
Au4 Au 0.357 0.750 0.928
Au5 Au 0.379 0.250 0.521
Au6 Au 0.386 0.250 0.134
# Volume in Å³/cell: 362

Preferred: B; penalty for the next structure: 0.7 kJ/mol of atoms.

A.
# GGA-PBE Ag6Pd3Au, relaxed
data_Ag6Pd3Au
_chemical_formula_sum 'Ag24 Pd12 Au4'
_symmetry_space_group_name_H-M 'C m c 21'
_symmetry_Int_Tables_number 36
_cell_length_a 8.875
_cell_length_b 16.076
_cell_length_c 5.035
_cell_angle_alpha 90.00
_cell_angle_beta 90.00
_cell_angle_gamma 90.00
loop_
_symmetry_equiv_pos_as_xyz
'x,y,z'
'-x,-y,z+1/2'
'-x,y,z'
'x,-y,z+1/2'
'x+1/2,y+1/2,z'
'-x+1/2,-y+1/2,z+1/2'
'-x+1/2,y+1/2,z'
'x+1/2,-y+1/2,z+1/2'
loop_
_atom_site_label
_atom_site_type_symbol
_atom_site_fract_x
_atom_site_fract_y
_atom_site_fract_z
Ag1 Ag 0.000 0.057 0.000
Ag2 Ag 0.000 0.304 0.722
Ag3 Ag 0.163 0.457 0.600
Ag4 Ag 0.240 0.202 0.907
Pd1 Pd 0.000 0.393 0.170
Pd2 Pd 0.159 0.097 0.510
Au1 Au 0.000 0.218 0.241
# Volume in Å³/cell: 718

B.
# GGA-PBE Ag6Pd3Au, relaxed
data_Ag6Pd3Au
_chemical_formula_sum 'Ag12 Pd6 Au2'
_symmetry_space_group_name_H-M 'P 1 21/m 1'
_symmetry_Int_Tables_number 11
_cell_length_a 8.220
_cell_length_b 4.212
_cell_length_c 11.683
_cell_angle_alpha 90.00
_cell_angle_beta 110.44
_cell_angle_gamma 90.00
loop_
_symmetry_equiv_pos_as_xyz
'x,y,z'
'-x,-y,-z'
'-x,y+1/2,-z'
'x,-y+1/2,z'
loop_
_atom_site_label
_atom_site_type_symbol
_atom_site_fract_x
_atom_site_fract_y
_atom_site_fract_z
Ag1 Ag 0.067 0.250 0.187
Ag2 Ag 0.133 0.750 0.588
Ag3 Ag 0.214 0.250 0.919
Ag4 Ag 0.231 0.250 0.456
Ag5 Ag 0.330 0.750 0.309
Ag6 Ag 0.417 0.250 0.164
Pd1 Pd 0.138 0.750 0.057
Pd2 Pd 0.352 0.250 0.720
Pd3 Pd 0.454 0.750 0.574
Au1 Au 0.000 0.250 0.678
# Volume in Å³/cell: 379

Preferred: A; penalty for the next structure: 2.1 kJ/mol of atoms.

A.
# GGA-PBE Ag2Pd3Au7, relaxed
data_Ag2Pd3Au7
_chemical_formula_sum 'Ag2 Pd3 Au7'
_symmetry_space_group_name_H-M 'P 1 2/m 1'
_symmetry_Int_Tables_number 10
_cell_length_a 5.336
_cell_length_b 2.821
_cell_length_c 14.089
_cell_angle_alpha 90.00
_cell_angle_beta 96.10
_cell_angle_gamma 90.00
loop_
_symmetry_equiv_pos_as_xyz
'x,y,z'
'-x,-y,-z'
'-x,y,-z'
'x,-y,z'
loop_
_atom_site_label
_atom_site_type_symbol
_atom_site_fract_x
_atom_site_fract_y
_atom_site_fract_z
Ag1 Ag 0.046 0.000 0.174
Pd1 Pd 0.459 0.500 0.838
Pd2 Pd 0.500 0.000 0.500
Au1 Au 0.000 0.500 0.500
Au2 Au 0.238 0.000 0.669
Au3 Au 0.253 0.000 0.001
Au4 Au 0.279 0.500 0.337
# Volume in Å³/cell: 211

B.
# GGA-PBE Ag2Pd3Au7, relaxed
data_Ag2Pd3Au7
_chemical_formula_sum 'Ag4 Pd6 Au14'
_symmetry_space_group_name_H-M 'C m m m'
_symmetry_Int_Tables_number 65
_symmetry_space_group_name_Hall '-C 2 2'
_cell_length_a 4.808
_cell_length_b 30.885
_cell_length_c 2.900
_cell_angle_alpha 90.00
_cell_angle_beta 90.00
_cell_angle_gamma 90.00
loop_
_atom_site_label
_atom_site_type_symbol
_atom_site_fract_x
_atom_site_fract_y
_atom_site_fract_z
Ag1 Ag 0.000 0.175 0.000
Pd1 Pd 0.000 0.348 0.500
Pd2 Pd 0.000 0.500 0.500
Au1 Au 0.000 0.000 0.000
Au2 Au 0.000 0.091 0.500
Au3 Au 0.000 0.271 0.000
Au4 Au 0.000 0.425 0.000
# Volume in Å³/cell: 431

Preferred: A; penalty for the next structure: 2.1 kJ/mol of atoms.

A.
# GGA-PBE AgPd2Au3, relaxed
data_AgPd2Au3
_chemical_formula_sum 'Ag4 Pd8 Au12'
_symmetry_space_group_name_H-M 'C 1 2/c 1'
_symmetry_Int_Tables_number 15
_cell_length_a 8.140
_cell_length_b 5.788
_cell_length_c 9.576
_cell_angle_alpha 90.00
_cell_angle_beta 115.10
_cell_angle_gamma 90.00
loop_
_symmetry_equiv_pos_as_xyz
'x,y,z'
'-x,-y,-z'
'-x,y,-z+1/2'
'x,-y,z+1/2'
'x+1/2,y+1/2,z'
'-x+1/2,-y+1/2,-z'
'-x+1/2,y+1/2,-z+1/2'
'x+1/2,-y+1/2,z+1/2'
loop_
_atom_site_label
_atom_site_type_symbol
_atom_site_fract_x
_atom_site_fract_y
_atom_site_fract_z
Ag1 Ag 0.000 0.125 0.250
Pd1 Pd 0.165 0.375 0.081
Au1 Au 0.000 0.375 0.750
Au2 Au 0.167 0.125 0.585
# Volume in Å³/cell: 409

B.
# GGA-PBE AgPd2Au3, relaxed
data_AgPd2Au3
_chemical_formula_sum 'Ag1 Pd2 Au3'
_symmetry_space_group_name_H-M 'P 4/m m m'
_symmetry_Int_Tables_number 123
_symmetry_space_group_name_Hall '-P 4 2'
_cell_length_a 2.899
_cell_length_b 2.899
_cell_length_c 12.170
_cell_angle_alpha 90.00
_cell_angle_beta 90.00
_cell_angle_gamma 90.00
loop_
_atom_site_label
_atom_site_type_symbol
_atom_site_fract_x
_atom_site_fract_y
_atom_site_fract_z
Ag1 Ag 0.000 0.000 0.000
Pd1 Pd 0.000 0.000 0.336
Au1 Au 0.500 0.500 0.173
Au2 Au 0.500 0.500 0.500
# Volume in Å³/cell: 102

Preferred: A; penalty for the next structure: 2.3 kJ/mol of atoms.

A.
# GGA-PBE Ag3Pd3Au2, relaxed
data_Ag3Pd3Au2
_chemical_formula_sum 'Ag3 Pd3 Au2'
_symmetry_space_group_name_H-M 'P m m m'
_symmetry_Int_Tables_number 47
_cell_length_a 4.086
_cell_length_b 4.128
_cell_length_c 8.023
_cell_angle_alpha 90.00
_cell_angle_beta 90.00
_cell_angle_gamma 90.00
loop_
_symmetry_equiv_pos_as_xyz
'x,y,z'
'-x,-y,-z'
'-x,-y,z'
'x,y,-z'
'x,-y,-z'
'-x,y,z'
'-x,y,-z'
'x,-y,z'
loop_
_atom_site_label
_atom_site_type_symbol
_atom_site_fract_x
_atom_site_fract_y
_atom_site_fract_z
Ag1 Ag 0.000 0.000 0.000
Ag2 Ag 0.500 0.000 0.253
Pd1 Pd 0.000 0.000 0.500
Pd2 Pd 0.500 0.500 0.000
Pd3 Pd 0.500 0.500 0.500
Au1 Au 0.000 0.500 0.253
# Volume in Å³/cell: 135

B.
# GGA-PBE Ag3Pd3Au2, relaxed
data_Ag3Pd3Au2
_chemical_formula_sum 'Ag6 Pd6 Au4'
_symmetry_space_group_name_H-M 'I m m m'
_symmetry_Int_Tables_number 71
_symmetry_space_group_name_Hall '-I 2 2'
_cell_length_a 4.055
_cell_length_b 4.131
_cell_length_c 16.147
_cell_angle_alpha 90.00
_cell_angle_beta 90.00
_cell_angle_gamma 90.00
loop_
_atom_site_label
_atom_site_type_symbol
_atom_site_fract_x
_atom_site_fract_y
_atom_site_fract_z
Ag1 Ag 0.000 0.000 0.000
Ag2 Ag 0.000 0.500 0.123
Pd1 Pd 0.000 0.000 0.500
Pd2 Pd 0.000 0.500 0.376
Au1 Au 0.000 0.000 0.250
# Volume in Å³/cell: 271

Preferred: A; penalty for the next structure: 0.7 kJ/mol of atoms.

A.
# GGA-PBE Ag2Pd3Au2, relaxed
data_Ag2Pd3Au2
_chemical_formula_sum 'Ag2 Pd3 Au2'
_symmetry_space_group_name_H-M 'P -1'
_symmetry_Int_Tables_number 2
_cell_length_a 4.767
_cell_length_b 4.801
_cell_length_c 6.484
_cell_angle_alpha 105.42
_cell_angle_beta 105.30
_cell_angle_gamma 105.81
loop_
_symmetry_equiv_pos_as_xyz
'x,y,z'
'-x,-y,-z'
loop_
_atom_site_label
_atom_site_type_symbol
_atom_site_fract_x
_atom_site_fract_y
_atom_site_fract_z
Ag1 Ag 0.125 0.122 0.244
Pd1 Pd 0.000 0.500 0.000
Pd2 Pd 0.246 0.746 0.494
Au1 Au 0.379 0.376 0.758
# Volume in Å³/cell: 128

B.
# GGA-PBE Ag2Pd3Au2, relaxed
data_Ag2Pd3Au2
_chemical_formula_sum 'Ag8 Pd12 Au8'
_symmetry_space_group_name_H-M 'I 21 3'
_symmetry_Int_Tables_number 199
_symmetry_space_group_name_Hall 'I 2b 2c 3'
_cell_length_a 8.012
_cell_length_b 8.012
_cell_length_c 8.012
_cell_angle_alpha 90.00
_cell_angle_beta 90.00
_cell_angle_gamma 90.00
loop_
_atom_site_label
_atom_site_type_symbol
_atom_site_fract_x
_atom_site_fract_y
_atom_site_fract_z
Ag1 Ag 0.165 0.335 0.665
Pd1 Pd 0.000 0.250 0.286
Au1 Au 0.028 0.028 0.028
# Volume in Å³/cell: 514

Preferred: A; penalty for the next structure: 8.1 kJ/mol of atoms.

A.
# GGA-PBE AgPdAu, relaxed
data_AgPdAu
_chemical_formula_sum 'Ag4 Pd4 Au4'
_symmetry_space_group_name_H-M 'C 1 2/m 1'
_symmetry_Int_Tables_number 12
_cell_length_a 7.590
_cell_length_b 4.814
_cell_length_c 5.690
_cell_angle_alpha 90.00
_cell_angle_beta 97.66
_cell_angle_gamma 90.00
loop_
_symmetry_equiv_pos_as_xyz
'x,y,z'
'-x,-y,-z'
'-x,y,-z'
'x,-y,z'
'x+1/2,y+1/2,z'
'-x+1/2,-y+1/2,-z'
'-x+1/2,y+1/2,-z'
'x+1/2,-y+1/2,z'
loop_
_atom_site_label
_atom_site_type_symbol
_atom_site_fract_x
_atom_site_fract_y
_atom_site_fract_z
Ag1 Ag 0.167 0.000 0.416
Pd1 Pd 0.001 0.500 0.751
Au1 Au 0.168 0.000 0.915
# Volume in Å³/cell: 206

B.
# GGA-PBE AgPdAu, relaxed
data_AgPdAu
_chemical_formula_sum 'Ag4 Pd4 Au4'
_symmetry_space_group_name_H-M 'C 1 2/m 1'
_symmetry_Int_Tables_number 12
_cell_length_a 10.661
_cell_length_b 2.903
_cell_length_c 6.904
_cell_angle_alpha 90.00
_cell_angle_beta 106.84
_cell_angle_gamma 90.00
loop_
_symmetry_equiv_pos_as_xyz
'x,y,z'
'-x,-y,-z'
'-x,y,-z'
'x,-y,z'
'x+1/2,y+1/2,z'
'-x+1/2,-y+1/2,-z'
'-x+1/2,y+1/2,-z'
'x+1/2,-y+1/2,z'
loop_
_atom_site_label
_atom_site_type_symbol
_atom_site_fract_x
_atom_site_fract_y
_atom_site_fract_z
Ag1 Ag 0.142 0.000 0.032
Pd1 Pd 0.193 0.000 0.633
Au1 Au 0.027 0.500 0.306
# Volume in Å³/cell: 205

Preferred: B; penalty for the next structure: 2.7 kJ/mol of atoms.

A.
# GGA-PBE AgPdAu, relaxed
data_AgPdAu
_chemical_formula_sum 'Ag2 Pd2 Au2'
_symmetry_space_group_name_H-M 'I 4 m m'
_symmetry_Int_Tables_number 107
_symmetry_space_group_name_Hall 'I 4 -2'
_cell_length_a 2.897
_cell_length_b 2.897
_cell_length_c 12.168
_cell_angle_alpha 90.00
_cell_angle_beta 90.00
_cell_angle_gamma 90.00
loop_
_atom_site_label
_atom_site_type_symbol
_atom_site_fract_x
_atom_site_fract_y
_atom_site_fract_z
Ag1 Ag 0.000 0.000 0.000
Pd1 Pd 0.000 0.000 0.336
Au1 Au 0.000 0.000 0.673
# Volume in Å³/cell: 102

B.
# GGA-PBE AgPdAu, relaxed
data_AgPdAu
_chemical_formula_sum 'Ag1 Pd1 Au1'
_symmetry_space_group_name_H-M 'P 3 m 1'
_symmetry_Int_Tables_number 156
_cell_length_a 4.6081
_cell_length_b 4.6081
_cell_length_c 2.7948
_cell_angle_alpha 90.00
_cell_angle_beta 90.00
_cell_angle_gamma 120.00
loop_
_symmetry_equiv_pos_as_xyz
'x,y,z'
'-y,x-y,z'
'-x+y,-x,z'
'-y,-x,z'
'-x+y,y,z'
'x,x-y,z'
loop_
_atom_site_label
_atom_site_type_symbol
_atom_site_fract_x
_atom_site_fract_y
_atom_site_fract_z
Ag1 Ag 0.0000 0.0000 0.0000
Pd1 Pd 0.6667 0.3333 0.3216
Au1 Au 0.3333 0.6667 0.6759
# Volume in Å³/cell: 51

Preferred: A; penalty for the next structure: 2.8 kJ/mol of atoms.